Entry 1:
NaMgAsPb PBE relaxed; ΔH_f (0 K) = -5.9 kcal/mol of atoms
1.0
3.742 0.000 0.010
0.000 3.742 -0.010
-0.005 0.005 7.130
Na Mg As Pb
1 1 1 1
direct
0.644 0.356 0.996
0.647 0.353 0.420
0.147 0.853 0.282
0.146 0.854 0.691


Entry 2:
ZrTaP PBE relaxed; ΔH_f (0 K) = -11.1 kcal/mol of atoms
1.0
0.000 2.489 5.980
1.811 0.000 5.980
1.811 2.489 0.000
Zr Ta P
1 1 1
direct
0.348 0.348 0.652
0.647 0.647 0.353
0.005 0.005 0.995


Entry 3:
LiY2Cu16 PBE relaxed; ΔH_f (0 K) = -3.1 kcal/mol of atoms
1.0
-1.617 -0.933 6.203
-0.515 -6.454 -0.229
5.928 -1.393 2.211
Li Y Cu
1 2 16
direct
0.906 0.906 0.906
0.651 0.651 0.651
0.338 0.338 0.338
0.702 0.001 0.300
0.001 0.300 0.702
0.300 0.702 0.001
0.001 0.702 0.300
0.702 0.300 0.001
0.300 0.001 0.702
0.345 0.845 0.345
0.845 0.345 0.345
0.345 0.345 0.845
0.654 0.158 0.654
0.158 0.654 0.654
0.654 0.654 0.158
0.001 0.499 0.001
0.499 0.001 0.001
0.001 0.001 0.499
0.099 0.099 0.099


Entry 4:
Al2PSe PBE relaxed; raw formation energy = -90.8 meV/atom; ΔE to the lowest computed polymorph = 382.7 meV/atom
1.0
5.383 -0.006 -0.001
-0.865 5.313 0.001
-0.285 -4.334 3.179
P Al Se
1 2 1
direct
0.750 0.250 0.500
0.981 0.981 0.000
0.519 0.519 0.000
0.250 0.750 0.500


Entry 5:
LaTaGe2 PBE relaxed; ΔE to the lowest computed polymorph = 0.0 meV/atom; ΔH_f (0 K) = -9.3 kcal/mol of atoms
1.0
-1.953 -1.985 -2.863
-1.215 -3.749 0.643
-6.866 0.380 1.636
Ge La Ta
2 1 1
direct
0.265 0.265 0.204
0.735 0.735 0.796
0.500 0.500 0.500
0.000 0.000 0.000


Entry 6:
ReAs PBE relaxed; ΔE to the lowest computed polymorph = 444.9 meV/atom; ΔH_f (0 K) = 12.0 kcal/mol of atoms
1.0
-4.640 -6.457 0.947
4.392 -1.770 9.448
-5.642 4.564 3.478
Re As
16 16
direct
0.000 0.622 0.000
0.000 0.378 0.000
0.250 0.128 0.250
0.250 0.372 0.250
0.000 0.122 0.500
0.000 0.878 0.500
0.250 0.628 0.750
0.250 0.872 0.750
0.500 0.622 0.500
0.500 0.378 0.500
0.750 0.128 0.750
0.750 0.372 0.750
0.500 0.122 0.000
0.500 0.878 0.000
0.750 0.628 0.250
0.750 0.872 0.250
0.228 0.000 0.000
0.772 0.000 0.000
0.022 0.750 0.250
0.478 0.750 0.250
0.228 0.500 0.500
0.772 0.500 0.500
0.022 0.250 0.750
0.478 0.250 0.750
0.728 0.000 0.500
0.272 0.000 0.500
0.522 0.750 0.750
0.978 0.750 0.750
0.728 0.500 0.000
0.272 0.500 0.000
0.522 0.250 0.250
0.978 0.250 0.250


Entry 7:
Pm3PrSm2Se6 PBE relaxed; raw formation energy = -1832.6 meV/atom
1.0
-4.237 5.311 2.622
1.799 -5.670 4.201
6.384 3.493 -0.117
Pm Pr Sm Se
3 1 2 6
direct
0.164 0.836 0.500
0.836 0.164 0.500
0.500 0.500 0.500
0.000 0.000 0.000
0.334 0.666 0.000
0.666 0.334 0.000
0.916 0.578 0.749
0.745 0.745 0.249
0.084 0.422 0.251
0.578 0.916 0.749
0.255 0.255 0.751
0.422 0.084 0.251


Entry 8:
CrPSCl2 PBE relaxed; raw formation energy = 723.3 meV/atom; ΔE to the lowest computed polymorph = 437.9 meV/atom
1.0
4.649 0.000 0.000
0.000 4.649 0.000
0.000 0.000 4.963
Cr S P Cl
1 1 1 2
direct
0.500 0.500 0.500
0.000 0.000 0.000
0.000 0.000 0.500
0.000 0.500 0.000
0.500 0.000 0.000


M_tot list, top to bottom, in μB per atom: 0.00, 0.00, 0.00, 0.00, 0.00, 0.00, 0.00, 0.78